No. 1
First-principles (PBE) data for a relaxed structure of Be3MoOs, as listed in Alexandria.

The structure belongs to space group Pm-3m (No. 221); the cell edges are 4.046, 4.046 and 4.046 Å and the angles 90.00°, 90.00° and 90.00°. The inequivalent atoms are Be at (0.000, 0.000, 0.500), Mo at (0.000, 0.000, 0.000) and Os at (0.500, 0.500, 0.500).

The value obtained for the density is 7.85 g/cm³. The value obtained for the formation energy is 1.6130 eV/atom.

---

No. 2
First-principles (PBE) data for a relaxed structure of Be2MoOs, as listed in Alexandria.

The structure belongs to space group C2/m (No. 12); the cell edges are 5.194, 7.411 and 2.629 Å and the angles 90.00°, 106.27° and 90.00°. The inequivalent atoms are Be at (0.250, 0.250, 0.000), Mo at (0.000, 0.000, 0.500) and Os at (0.000, 0.500, 0.500).

The value obtained for the density is 10.40 g/cm³. The value obtained for the formation energy is 0.1429 eV/atom.

---

No. 3
First-principles (PBE) data for a relaxed structure of Be2MoOs, as listed in Alexandria.

The structure belongs to space group I-42d (No. 122); the cell edges are 3.602, 3.602 and 16.771 Å and the angles 90.00°, 90.00° and 90.00°. The inequivalent atoms are Be at (0.223, 0.250, 0.125), Mo at (0.000, 0.000, 0.500) and Os at (0.000, 0.000, 0.000).

The value obtained for the density is 9.29 g/cm³. The value obtained for the formation energy is 0.5488 eV/atom.

---

No. 4
First-principles (PBE) data for a relaxed structure of BeMo3Os, as listed in Alexandria.

The structure belongs to space group Pm-3m (No. 221); the cell edges are 4.183, 4.183 and 4.183 Å and the angles 90.00°, 90.00° and 90.00°. The inequivalent atoms are Be at (0.000, 0.000, 0.000), Mo at (0.000, 0.000, 0.500) and Os at (0.500, 0.500, 0.500).

The value obtained for the density is 11.05 g/cm³. The value obtained for the formation energy is 0.7284 eV/atom.

---

No. 5
First-principles (PBE) data for a relaxed structure of BeMoOs, as listed in Alexandria.

The structure belongs to space group Pnma (No. 62); the cell edges are 5.209, 4.013 and 7.457 Å and the angles 90.00°, 90.00° and 90.00°. The inequivalent atoms are Be at (0.214, 0.250, 0.116), Mo at (0.076, 0.250, 0.793) and Os at (0.192, 0.250, 0.443).

The value obtained for the density is 12.58 g/cm³. The value obtained for the formation energy is -0.0135 eV/atom.

---

No. 6
First-principles (PBE) data for a relaxed structure of Be2MoOs, as listed in Alexandria.

The structure belongs to space group Fm-3m (No. 225); the cell edges are 5.687, 5.687 and 5.687 Å and the angles 90.00°, 90.00° and 90.00°. The inequivalent atoms are Be at (0.250, 0.250, 0.250), Mo at (0.000, 0.000, 0.000) and Os at (0.000, 0.000, 0.500).

The value obtained for the density is 10.98 g/cm³. The value obtained for the formation energy is 0.0431 eV/atom.

---

No. 7
First-principles (PBE) data for a relaxed structure of BeMoOs3, as listed in Alexandria.

The structure belongs to space group Pm-3m (No. 221); the cell edges are 4.669, 4.669 and 4.669 Å and the angles 90.00°, 90.00° and 90.00°. The inequivalent atoms are Be at (0.000, 0.000, 0.000), Mo at (0.500, 0.500, 0.500) and Os at (0.000, 0.500, 0.500).

The value obtained for the density is 11.02 g/cm³. The value obtained for the formation energy is 2.5069 eV/atom.

---

No. 8
First-principles (PBE) data for a relaxed structure of Be2MoOs, as listed in Alexandria.

The structure belongs to space group I-4m2 (No. 119); the cell edges are 4.108, 4.108 and 5.849 Å and the angles 90.00°, 90.00° and 90.00°. The inequivalent atoms are Be at (0.000, 0.000, 0.000), Be at (0.000, 0.500, 0.250), Mo at (0.000, 0.500, 0.750) and Os at (0.000, 0.000, 0.500).

The value obtained for the density is 10.24 g/cm³. The value obtained for the formation energy is -0.0588 eV/atom.

---

No. 9
First-principles (PBE) data for a relaxed structure of Be2MoOs2, as listed in Alexandria.

The structure belongs to space group P4/mbm (No. 127); the cell edges are 6.364, 6.364 and 2.928 Å and the angles 90.00°, 90.00° and 90.00°. The inequivalent atoms are Be at (0.126, 0.374, 0.000), Mo at (0.000, 0.000, 0.000) and Os at (0.164, 0.664, 0.500).

The value obtained for the density is 13.85 g/cm³. The value obtained for the formation energy is -0.1445 eV/atom.

---

No. 10
First-principles (PBE) data for a relaxed structure of Be2MoOs, as listed in Alexandria.

The structure belongs to space group Cmmm (No. 65); the cell edges are 3.161, 4.199 and 7.343 Å and the angles 90.00°, 90.00° and 90.00°. The inequivalent atoms are Be at (0.000, 0.000, 0.240), Mo at (0.000, 0.500, 0.500) and Os at (0.000, 0.500, 0.000).

The value obtained for the density is 10.37 g/cm³. The value obtained for the formation energy is 0.1847 eV/atom.

---

No. 11
First-principles (PBE) data for a relaxed structure of BeMoOs, as listed in Alexandria.

The structure belongs to space group Fmm2 (No. 42); the cell edges are 3.067, 4.390 and 11.828 Å and the angles 90.00°, 90.00° and 90.00°. The inequivalent atoms are Be at (0.000, 0.000, 0.000), Mo at (0.000, 0.000, 0.661) and Os at (0.000, 0.000, 0.349).

The value obtained for the density is 12.31 g/cm³. The value obtained for the formation energy is 0.2412 eV/atom.

---

No. 12
First-principles (PBE) data for a relaxed structure of Be2MoOs, as listed in Alexandria.

The structure belongs to space group Amm2 (No. 38); the cell edges are 3.547, 2.900 and 8.819 Å and the angles 90.00°, 90.00° and 90.00°. The inequivalent atoms are Be at (0.000, 0.000, 0.000), Be at (0.500, 0.000, 0.128), Mo at (0.000, 0.000, 0.728) and Os at (0.500, 0.000, 0.409).

The value obtained for the density is 11.14 g/cm³. The value obtained for the formation energy is -0.1661 eV/atom.

---

Number 12 is which compound? Be2MoOs